DFT (PBE) results for a relaxed ScIn2Au crystal.

## Properties
* formation energy: -0.23 eV/atom
* electronic total energy: -64.01 eV/cell

Cell lengths 7.9798, 7.9798, 5.9540 Å; angles 90.00, 90.00, 90.00 degrees
Last column: nearest neighbours and their distance in Å.
Space group I-42d (No. 122)
Inequivalent atoms, fractional coordinates:
Sc 0.0000 0.0000 0.0000 [4 per cell]  2 Au 2.98, 4 In 3.08
In 0.2209 0.2500 0.6250 [8 per cell]  2 Au 2.76, 2 In 3.01, 2 Sc 3.08
Au 0.0000 0.0000 0.5000 [4 per cell]  4 In 2.76, 2 Sc 2.98